*w*
# CrGa2F8 | Alexandria | GGA+U | optimized geometry
data_CrGa2F8
_space_group_name_H-M_alt 'C 1 2/m 1'
_space_group_IT_number 12
_cell_length_a 8.125
_cell_length_b 6.367
_cell_length_c 5.217
_cell_angle_alpha 90.00
_cell_angle_beta 100.15
_cell_angle_gamma 90.00
loop_
_space_group_symop_operation_xyz
'x,y,z'
'-x,-y,-z'
'-x,y,-z'
'x,-y,z'
'x+1/2,y+1/2,z'
'-x+1/2,-y+1/2,-z'
'-x+1/2,y+1/2,-z'
'x+1/2,-y+1/2,z'
loop_
_atom_site_label
_atom_site_fract_x
_atom_site_fract_y
_atom_site_fract_z
Cr1 0.000 0.000 0.000
Ga1 0.185 0.500 0.450
F1 0.060 0.500 0.728
F2 0.141 0.190 0.333
F3 0.199 0.000 0.828
# Total magnetization in μB per formula unit: 4.0
# Fermi-level density of states in states/eV/cell: 0.0

*x*
# CrGa2F8 | Alexandria | GGA+U | optimized geometry
data_CrGa2F8
_space_group_name_H-M_alt 'P -1'
_space_group_IT_number 2
_cell_length_a 3.920
_cell_length_b 6.067
_cell_length_c 6.850
_cell_angle_alpha 63.95
_cell_angle_beta 88.83
_cell_angle_gamma 89.72
loop_
_space_group_symop_operation_xyz
'x,y,z'
'-x,-y,-z'
loop_
_atom_site_label
_atom_site_fract_x
_atom_site_fract_y
_atom_site_fract_z
Cr1 0.000 0.000 0.000
Ga1 0.240 0.342 0.316
F1 0.232 0.205 0.606
F2 0.253 0.677 0.151
F3 0.255 0.157 0.162
F4 0.258 0.652 0.700
# Total magnetization in μB per formula unit: 4.0
# Fermi-level density of states in states/eV/cell: 0.0

Which is most stable, and by how much? *x*, by 9 meV per atom.

*w*
# CrGaF3 | Alexandria | GGA+U | optimized geometry
data_CrGaF3
_space_group_name_H-M_alt 'P m -3 m'
_space_group_IT_number 221
_space_group_name_Hall '-P 4 2 3'
_cell_length_a 4.185
_cell_length_b 4.185
_cell_length_c 4.185
_cell_angle_alpha 90.00
_cell_angle_beta 90.00
_cell_angle_gamma 90.00
loop_
_atom_site_label
_atom_site_fract_x
_atom_site_fract_y
_atom_site_fract_z
Cr1 0.000 0.000 0.000
Ga1 0.500 0.500 0.500
F1 0.000 0.500 0.500
# Total magnetization in μB per formula unit: 5.0
# Fermi-level density of states in states/eV/cell: 0.7

*x*
# CrGaF3 | Alexandria | GGA+U | optimized geometry
data_CrGaF3
_space_group_name_H-M_alt 'P -1'
_space_group_IT_number 2
_cell_length_a 5.391
_cell_length_b 5.414
_cell_length_c 7.347
_cell_angle_alpha 93.00
_cell_angle_beta 109.36
_cell_angle_gamma 113.52
loop_
_space_group_symop_operation_xyz
'x,y,z'
'-x,-y,-z'
loop_
_atom_site_label
_atom_site_fract_x
_atom_site_fract_y
_atom_site_fract_z
Cr1 0.171 0.328 0.499
Ga1 0.288 0.886 0.145
F1 0.040 0.585 0.338
F2 0.287 0.080 0.670
F3 0.375 0.262 0.327
# Total magnetization in μB per formula unit: 4.0
# Fermi-level density of states in states/eV/cell: 0.0

*y*
# CrGaF3 | Alexandria | GGA+U | optimized geometry
data_CrGaF3
_space_group_name_H-M_alt 'P m -3 m'
_space_group_IT_number 221
_space_group_name_Hall '-P 4 2 3'
_cell_length_a 4.199
_cell_length_b 4.199
_cell_length_c 4.199
_cell_angle_alpha 90.00
_cell_angle_beta 90.00
_cell_angle_gamma 90.00
loop_
_atom_site_label
_atom_site_fract_x
_atom_site_fract_y
_atom_site_fract_z
Cr1 0.000 0.000 0.000
Ga1 0.500 0.500 0.500
F1 0.000 0.000 0.500
# Total magnetization in μB per formula unit: 4.0
# Fermi-level density of states in states/eV/cell: 1.3

Which is most stable, and by how much? *x*, by 119 meV per atom.

*w*
# Cr2GaF | Alexandria | GGA+U | optimized geometry
data_Cr2GaF
_space_group_name_H-M_alt 'F m -3 m'
_space_group_IT_number 225
_space_group_name_Hall '-F 4 2 3'
_cell_length_a 6.428
_cell_length_b 6.428
_cell_length_c 6.428
_cell_angle_alpha 90.00
_cell_angle_beta 90.00
_cell_angle_gamma 90.00
loop_
_atom_site_label
_atom_site_fract_x
_atom_site_fract_y
_atom_site_fract_z
Cr1 0.250 0.250 0.250
Ga1 0.000 0.000 0.000
F1 0.000 0.000 0.500
# Total magnetization in μB per formula unit: 9.2
# Fermi-level density of states in states/eV/cell: 6.6

*x*
# Cr2GaF | Alexandria | GGA+U | optimized geometry
data_Cr2GaF
_space_group_name_H-M_alt 'I -4 2 d'
_space_group_IT_number 122
_space_group_name_Hall 'I -4 2bw'
_cell_length_a 6.611
_cell_length_b 6.611
_cell_length_c 6.325
_cell_angle_alpha 90.00
_cell_angle_beta 90.00
_cell_angle_gamma 90.00
loop_
_atom_site_label
_atom_site_fract_x
_atom_site_fract_y
_atom_site_fract_z
Cr1 0.198 0.250 0.125
Ga1 0.000 0.000 0.500
F1 0.000 0.000 0.000
# Total magnetization in μB per formula unit: 9.2
# Fermi-level density of states in states/eV/cell: 5.8

Which is most stable, and by how much? *x*, by 216 meV per atom.

*w*
# Cr3GaF | Alexandria | GGA+U | optimized geometry
data_Cr3GaF
_space_group_name_H-M_alt 'P m -3 m'
_space_group_IT_number 221
_space_group_name_Hall '-P 4 2 3'
_cell_length_a 4.500
_cell_length_b 4.500
_cell_length_c 4.500
_cell_angle_alpha 90.00
_cell_angle_beta 90.00
_cell_angle_gamma 90.00
loop_
_atom_site_label
_atom_site_fract_x
_atom_site_fract_y
_atom_site_fract_z
Cr1 0.000 0.000 0.500
Ga1 0.500 0.500 0.500
F1 0.000 0.000 0.000
# Total magnetization in μB per formula unit: 13.7
# Fermi-level density of states in states/eV/cell: 1.9

*x*
# Cr3GaF | Alexandria | GGA+U | optimized geometry
data_Cr3GaF
_space_group_name_H-M_alt 'P m -3 m'
_space_group_IT_number 221
_space_group_name_Hall '-P 4 2 3'
_cell_length_a 4.958
_cell_length_b 4.958
_cell_length_c 4.958
_cell_angle_alpha 90.00
_cell_angle_beta 90.00
_cell_angle_gamma 90.00
loop_
_atom_site_label
_atom_site_fract_x
_atom_site_fract_y
_atom_site_fract_z
Cr1 0.000 0.000 0.500
Ga1 0.000 0.000 0.000
F1 0.500 0.500 0.500
# Total magnetization in μB per formula unit: 13.5
# Fermi-level density of states in states/eV/cell: 2.5

Which is most stable, and by how much? *w*, by 544 meV per atom.

*w*
# CrGeF2 | Alexandria | GGA+U | optimized geometry
data_CrGeF2
_space_group_name_H-M_alt 'R -3 m'
_space_group_IT_number 166
_space_group_name_Hall '-R 3 2"'
_cell_length_a 3.0295
_cell_length_b 3.0295
_cell_length_c 23.5614
_cell_angle_alpha 90.00
_cell_angle_beta 90.00
_cell_angle_gamma 120.00
loop_
_atom_site_label
_atom_site_fract_x
_atom_site_fract_y
_atom_site_fract_z
Cr1 0.0000 0.0000 0.0000
Ge1 0.0000 0.0000 0.5000
F1 0.0000 0.0000 0.0823
# Total magnetization in μB per formula unit: 4.1
# Fermi-level density of states in states/eV/cell: 2.0

*x*
# CrGeF2 | Alexandria | GGA+U | optimized geometry
data_CrGeF2
_space_group_name_H-M_alt 'I -4 2 d'
_space_group_IT_number 122
_space_group_name_Hall 'I -4 2bw'
_cell_length_a 6.694
_cell_length_b 6.694
_cell_length_c 5.791
_cell_angle_alpha 90.00
_cell_angle_beta 90.00
_cell_angle_gamma 90.00
loop_
_atom_site_label
_atom_site_fract_x
_atom_site_fract_y
_atom_site_fract_z
Cr1 0.000 0.000 0.000
Ge1 0.000 0.000 0.500
F1 0.138 0.250 0.125
# Total magnetization in μB per formula unit: 3.3
# Fermi-level density of states in states/eV/cell: 7.6

*y*
# CrGeF2 | Alexandria | GGA+U | optimized geometry
data_CrGeF2
_space_group_name_H-M_alt 'F m -3 m'
_space_group_IT_number 225
_space_group_name_Hall '-F 4 2 3'
_cell_length_a 5.986
_cell_length_b 5.986
_cell_length_c 5.986
_cell_angle_alpha 90.00
_cell_angle_beta 90.00
_cell_angle_gamma 90.00
loop_
_atom_site_label
_atom_site_fract_x
_atom_site_fract_y
_atom_site_fract_z
Cr1 0.000 0.000 0.000
Ge1 0.000 0.000 0.500
F1 0.250 0.250 0.250
# Total magnetization in μB per formula unit: 0.0
# Fermi-level density of states in states/eV/cell: 12.5

*z*
# CrGeF2 | Alexandria | GGA+U | optimized geometry
data_CrGeF2
_space_group_name_H-M_alt 'R -3 m'
_space_group_IT_number 166
_space_group_name_Hall '-R 3 2"'
_cell_length_a 3.2123
_cell_length_b 3.2123
_cell_length_c 24.8767
_cell_angle_alpha 90.00
_cell_angle_beta 90.00
_cell_angle_gamma 120.00
loop_
_atom_site_label
_atom_site_fract_x
_atom_site_fract_y
_atom_site_fract_z
Cr1 0.0000 0.0000 0.0000
Ge1 0.0000 0.0000 0.5000
F1 0.0000 0.0000 0.3740
# Total magnetization in μB per formula unit: 4.0
# Fermi-level density of states in states/eV/cell: 10.8

Which is most stable, and by how much? *z*, by 159 meV per atom.

*w*
# CrGe3F | Alexandria | GGA+U | optimized geometry
data_CrGe3F
_space_group_name_H-M_alt 'P m -3 m'
_space_group_IT_number 221
_space_group_name_Hall '-P 4 2 3'
_cell_length_a 4.562
_cell_length_b 4.562
_cell_length_c 4.562
_cell_angle_alpha 90.00
_cell_angle_beta 90.00
_cell_angle_gamma 90.00
loop_
_atom_site_label
_atom_site_fract_x
_atom_site_fract_y
_atom_site_fract_z
Cr1 0.000 0.000 0.000
Ge1 0.000 0.500 0.500
F1 0.500 0.500 0.500
# Total magnetization in μB per formula unit: 4.7
# Fermi-level density of states in states/eV/cell: 2.2

*x*
# CrGe3F | Alexandria | GGA+U | optimized geometry
data_CrGe3F
_space_group_name_H-M_alt 'P m -3 m'
_space_group_IT_number 221
_space_group_name_Hall '-P 4 2 3'
_cell_length_a 4.642
_cell_length_b 4.642
_cell_length_c 4.642
_cell_angle_alpha 90.00
_cell_angle_beta 90.00
_cell_angle_gamma 90.00
loop_
_atom_site_label
_atom_site_fract_x
_atom_site_fract_y
_atom_site_fract_z
Cr1 0.000 0.000 0.000
Ge1 0.000 0.000 0.500
F1 0.500 0.500 0.500
# Total magnetization in μB per formula unit: 1.0
# Fermi-level density of states in states/eV/cell: 1.2

Which is most stable, and by how much? *w*, by 71 meV per atom.